# 1
Below is Ca3Mg at its PBEsol-relaxed geometry, with properties calculated at the meta-GGA SCAN level.

Unit cell a=3.9595 b=3.9595 c=9.0960 alpha=90.00 beta=90.00 gamma=90.00
Closest atoms and distances in Å follow each position.
Fractional coordinates of all 4 atoms:
Ca1 0.0000 0.0000 0.2109  4 Mg 3.39
Mg1 0.5000 0.5000 0.0000  8 Ca 3.39
Ca2 0.0000 0.0000 0.7891  4 Mg 3.39
Ca3 0.5000 0.5000 0.5000  12 Ca 3.84-3.96

final energy	-34.08	eV per cell
space group	P4/mmm, No. 123
magnetic moment	0.03	Bohr magnetons per cell
formation energy	-0.12	eV/f.u.

# 2
Below is Mg3ZrB at its PBEsol-relaxed geometry, with properties calculated at the meta-GGA SCAN level.

Unit cell a=4.5467 b=4.5467 c=4.5467 alpha=90.00 beta=90.00 gamma=90.00
Closest atoms and distances in Å follow each position.
Fractional coordinates of all 5 atoms:
B1 0.0000 0.0000 0.0000  6 Mg 2.27
Zr1 0.5000 0.5000 0.5000  12 Mg 3.21
Mg1 0.5000 0.0000 0.0000  2 B 2.27
Mg2 0.0000 0.5000 0.0000  2 B 2.27
Mg3 0.0000 0.0000 0.5000  2 B 2.27

final energy	-50.82	eV per cell
space group	Pm-3m, No. 221
magnetic moment	0.86	Bohr magnetons per cell
formation energy	2.23	eV/f.u.

# 3
Below is ZrTaRu2 at its PBEsol-relaxed geometry, with properties calculated at the meta-GGA SCAN level.

Unit cell a=3.7678 b=3.7678 c=5.3188 alpha=110.74 beta=110.74 gamma=90.00
Closest atoms and distances in Å follow each position.
Fractional coordinates of all 4 atoms:
Ru1 0.0000 0.0000 0.0000  4 Ta 2.66, 4 Zr 2.97, 4 Ru 2.97
Zr1 0.2500 0.7500 0.5000  8 Ru 2.66-2.97, 4 Ta 2.97
Ru2 0.7500 0.2500 0.5000  4 Zr 2.66, 4 Ta 2.97, 4 Ru 2.97
Ta1 0.5000 0.5000 0.0000  8 Ru 2.66-2.97, 4 Zr 2.97

final energy	-167.99	eV per cell
space group	I-4m2, No. 119
magnetic moment	0.00	Bohr magnetons per cell
formation energy	-1.06	eV/f.u.

# 4
Below is Y2MnSi at its PBEsol-relaxed geometry, with properties calculated at the meta-GGA SCAN level.

Unit cell a=3.9541 b=4.0591 c=5.6986 alpha=90.00 beta=110.30 gamma=90.00
Closest atoms and distances in Å follow each position.
Fractional coordinates of all 4 atoms:
Y1 0.2682 0.5000 0.5364  4 Mn 2.95, 3 Si 2.98-3.12
Y2 0.9809 0.0000 0.9617  4 Si 2.96, 3 Mn 2.98-3.11
Mn1 0.6899 0.0000 0.3797  2 Si 2.46
Si1 0.5600 0.5000 0.1201  2 Mn 2.46

final energy	-86.12	eV per cell
space group	Amm2, No. 38
magnetic moment	3.21	Bohr magnetons per cell
energy relative to the elements, uncorrected	-2.17	eV/f.u.